# 1
Entry from Alexandria: crystalline ErTm4Th3 at its relaxed geometry (PBE).

Unit cell a=11.4457 b=7.1000 c=6.1847 alpha=90.00 beta=90.00 gamma=90.00
Last column: nearest neighbours and their distance in Å.
Atoms (fractional coordinates):
Er: 0.0000 0.1261 0.0000  6 Th 3.50-3.58, 6 Tm 3.51-3.60
Er: 0.5000 0.8739 0.5000  6 Th 3.50-3.58, 6 Tm 3.51-3.60
Tm: 0.0000 0.3743 0.4921  2 Er 3.52-3.60, 6 Tm 3.52-3.60, 4 Th 3.55
Tm: 0.0000 0.6306 0.9937  2 Er 3.52-3.58, 4 Th 3.52-3.57, 6 Tm 3.52-3.60
Tm: 0.2491 0.3741 0.8338  5 Th 3.48-3.64, 1 Er 3.51, 6 Tm 3.52-3.57
Tm: 0.2509 0.6259 0.3338  5 Th 3.48-3.64, 1 Er 3.51, 6 Tm 3.52-3.57
Tm: 0.5000 0.3694 0.4937  2 Er 3.52-3.58, 4 Th 3.52-3.57, 6 Tm 3.52-3.60
Tm: 0.5000 0.6257 0.9921  2 Er 3.52-3.60, 6 Tm 3.52-3.60, 4 Th 3.55
Tm: 0.7491 0.6259 0.3338  5 Th 3.48-3.64, 1 Er 3.51, 6 Tm 3.52-3.57
Tm: 0.7509 0.3741 0.8338  5 Th 3.48-3.64, 1 Er 3.51, 6 Tm 3.52-3.57
Th: 0.0000 0.8746 0.4983  4 Th 3.50-3.51, 6 Tm 3.52-3.57, 2 Er 3.56-3.58
Th: 0.2502 0.1164 0.3259  6 Tm 3.48-3.64, 2 Er 3.50-3.51, 4 Th 3.50-3.51
Th: 0.2498 0.8836 0.8259  6 Tm 3.48-3.64, 2 Er 3.50-3.51, 4 Th 3.50-3.51
Th: 0.5000 0.1254 0.9983  4 Th 3.50-3.51, 6 Tm 3.52-3.57, 2 Er 3.56-3.58
Th: 0.7498 0.1164 0.3259  6 Tm 3.48-3.64, 2 Er 3.50-3.51, 4 Th 3.50-3.51
Th: 0.7502 0.8836 0.8259  6 Tm 3.48-3.64, 2 Er 3.50-3.51, 4 Th 3.50-3.51

size of the total moment	0.000	μB per atom
formation energy	40	meV per atom
total DFT energy (no corrections)	-5.55	eV/atom


# 2
Entry from Alexandria: crystalline LiHfSb2 at its relaxed geometry (PBE).

Unit cell a=8.1617 b=8.1617 c=8.1617 alpha=26.99 beta=26.99 gamma=26.99
Last column: nearest neighbours and their distance in Å.
Atoms (fractional coordinates):
Li: 0.0000 0.0000 0.0000  6 Sb 2.98
Hf: 0.5000 0.5000 0.5000  6 Sb 2.92
Sb: 0.2480 0.2480 0.2480  3 Hf 2.92, 3 Li 2.98
Sb: 0.7520 0.7520 0.7520  3 Hf 2.92, 3 Li 2.98

size of the total moment	0.000	μB per atom
formation energy from raw total energies	-0.37	eV per atom
total DFT energy (no corrections)	-5.40	eV/atom


# 3
Entry from Alexandria: crystalline CsRb2MgSn at its relaxed geometry (PBE).

Unit cell a=7.3791 b=7.3791 c=5.5918 alpha=90.00 beta=90.00 gamma=90.00
Last column: nearest neighbours and their distance in Å.
Atoms (fractional coordinates):
Cs: 0.0000 0.0000 0.0000  8 Rb 4.63
Rb: 0.0000 0.5000 0.5000  2 Sn 3.69
Rb: 0.5000 0.0000 0.5000  2 Sn 3.69
Mg: 0.5000 0.5000 0.0000  2 Sn 2.80
Sn: 0.5000 0.5000 0.5000  2 Mg 2.80

size of the total moment	0.061	μB per atom
formation energy	40	meV per atom
total DFT energy (no corrections)	-1.64	eV/atom


# 4
Entry from Alexandria: crystalline Pa3Fe2Ni9 at its relaxed geometry (PBE).

Unit cell a=7.4573 b=7.4573 c=7.4573 alpha=148.38 beta=109.10 gamma=79.70
Last column: nearest neighbours and their distance in Å.
Atoms (fractional coordinates):
Pa: 0.0000 0.0000 0.0000  4 Ni 2.67
Pa: 0.3063 0.3063 0.0000  2 Fe 2.73, 10 Ni 2.82-3.01
Pa: 0.6937 0.6937 0.0000  2 Fe 2.73, 10 Ni 2.82-3.01
Fe: 0.3166 0.5000 0.8166  8 Ni 2.45-2.58, 2 Pa 2.73
Fe: 0.6834 0.5000 0.1834  8 Ni 2.45-2.58, 2 Pa 2.73
Ni: 0.0314 0.6735 0.3580  4 Ni 2.41-2.54, 1 Fe 2.49
Ni: 0.1544 0.8852 0.2692  5 Ni 2.39-2.63, 2 Fe 2.45, 1 Pa 2.67
Ni: 0.3155 0.6735 0.6420  4 Ni 2.41-2.54, 1 Fe 2.49
Ni: 0.3840 0.1148 0.2692  5 Ni 2.39-2.63, 2 Fe 2.45, 1 Pa 2.67
Ni: 0.5000 0.0000 0.5000  4 Ni 2.39, 4 Fe 2.58
Ni: 0.6160 0.8852 0.7308  5 Ni 2.39-2.63, 2 Fe 2.45, 1 Pa 2.67
Ni: 0.6845 0.3265 0.3580  4 Ni 2.41-2.54, 1 Fe 2.49
Ni: 0.8456 0.1148 0.7308  5 Ni 2.39-2.63, 2 Fe 2.45, 1 Pa 2.67
Ni: 0.9686 0.3265 0.6420  4 Ni 2.41-2.54, 1 Fe 2.49

size of the total moment	0.300	μB per atom
formation energy	-269	meV per atom
total DFT energy (no corrections)	-7.23	eV/atom


# 5
Entry from Alexandria: crystalline US2I at its relaxed geometry (PBE).

Unit cell a=7.5277 b=7.5277 c=8.1044 alpha=90.00 beta=90.00 gamma=150.19
Last column: nearest neighbours and their distance in Å.
Atoms (fractional coordinates):
U: 0.2429 0.7571 0.7500  6 S 2.70-2.80
U: 0.7571 0.2429 0.2500  6 S 2.70-2.80
S: 0.1734 0.8266 0.0723  3 U 2.70-2.80, 1 S 2.88
S: 0.1734 0.8266 0.4277  3 U 2.70-2.80, 1 S 2.88
S: 0.8266 0.1734 0.5723  3 U 2.70-2.80, 1 S 2.88
S: 0.8266 0.1734 0.9277  3 U 2.70-2.80, 1 S 2.88
I: 0.4237 0.5763 0.2500  2 U 3.10
I: 0.5763 0.4237 0.7500  2 U 3.10

size of the total moment	0.267	μB per atom
formation energy from raw total energies	-1.01	eV per atom
total DFT energy (no corrections)	-6.28	eV/atom


# 6
Entry from Alexandria: crystalline ZrScPa2 at its relaxed geometry (PBE).

Unit cell a=5.1881 b=5.1881 c=5.1881 alpha=60.00 beta=60.00 gamma=60.00
Last column: nearest neighbours and their distance in Å.
Atoms (fractional coordinates):
Zr: 0.0000 0.0000 0.0000  8 Pa 3.18
Sc: 0.5000 0.5000 0.5000  8 Pa 3.18
Pa: 0.2500 0.2500 0.2500  4 Zr 3.18, 4 Sc 3.18
Pa: 0.7500 0.7500 0.7500  4 Zr 3.18, 4 Sc 3.18

size of the total moment	0.001	μB per atom
formation energy	336	meV per atom
total DFT energy (no corrections)	-8.13	eV/atom


# 7
Entry from Alexandria: crystalline PaIn2P2N6 at its relaxed geometry (PBE).

Unit cell a=5.4470 b=5.4470 c=6.5815 alpha=90.00 beta=90.00 gamma=120.00
Last column: nearest neighbours and their distance in Å.
Atoms (fractional coordinates):
Pa: 0.0000 0.0000 0.0000  6 N 2.30
In: 0.3333 0.6667 0.6724  3 N 2.18
In: 0.6667 0.3333 0.3276  3 N 2.18
P: 0.3333 0.6667 0.2703  3 N 1.64
P: 0.6667 0.3333 0.7297  3 N 1.64
N: 0.0537 0.3683 0.2033  1 P 1.64
N: 0.3145 0.9463 0.2033  1 P 1.64
N: 0.3683 0.3145 0.7967  1 P 1.64
N: 0.6317 0.6855 0.2033  1 P 1.64
N: 0.6855 0.0537 0.7967  1 P 1.64
N: 0.9463 0.6317 0.7967  1 P 1.64

size of the total moment	0.067	μB per atom
formation energy from raw total energies	-0.42	eV per atom
total DFT energy (no corrections)	-7.30	eV/atom


# 8
Entry from Alexandria: crystalline GaI2 at its relaxed geometry (PBE).

Unit cell a=4.1534 b=4.1534 c=7.6719 alpha=106.15 beta=106.15 gamma=59.64
Last column: nearest neighbours and their distance in Å.
Atoms (fractional coordinates):
Ga: 0.0000 0.0000 0.0000  6 I 2.98-3.00
I: 0.2497 0.2497 0.7539  3 Ga 2.98-3.00
I: 0.7503 0.7503 0.2461  3 Ga 2.98-3.00

size of the total moment	0.000	μB per atom
formation energy from raw total energies	-0.30	eV per atom
total DFT energy (no corrections)	-2.35	eV/atom